Record 1
Here is crystalline MgSiMo2 at its relaxed geometry from the Alexandria database. Energies are from PBE.

POSCAR file:
```
MgSiMo2
1.0
2.729 0.000 0.000
0.000 2.729 0.000
0.000 0.000 8.659
Mg Mo Si
1 2 1
Cartesian
1.365 1.365 6.440 Mg
0.000 0.000 0.059 Mo
1.365 1.365 2.312 Mo
0.000 0.000 4.177 Si
```

Properties
* E_tot: -27.7 eV per formula unit
* ΔE_f (raw): 0.25 eV per atom

---

Record 2
Here is crystalline MgSi2Mo at its relaxed geometry from the Alexandria database. Energies are from PBE.

POSCAR file:
```
MgSi2Mo
1.0
2.758 0.000 0.000
0.000 2.758 0.000
0.000 0.000 8.229
Mg Mo Si
1 1 2
Cartesian
0.000 0.000 4.080 Mg
1.379 1.379 6.351 Mo
0.000 0.000 0.005 Si
1.379 1.379 1.907 Si
```

Properties
* E_tot: -22.1 eV per formula unit
* ΔE_f (raw): 0.29 eV per atom

---

Record 3
Here is crystalline Mg2Si2Mo at its relaxed geometry from the Alexandria database. Energies are from PBE.

POSCAR file:
```
Mg2Si2Mo
1.0
6.593 0.000 0.000
0.000 6.593 0.000
0.000 0.000 3.895
Mg Mo Si
4 2 4
Cartesian
1.147 4.443 1.948 Mg
4.443 5.446 1.948 Mg
5.446 2.150 1.948 Mg
2.150 1.147 1.948 Mg
0.000 0.000 0.000 Mo
3.296 3.296 0.000 Mo
2.414 5.710 0.000 Si
5.710 4.179 0.000 Si
4.179 0.882 0.000 Si
0.882 2.414 0.000 Si
```

Properties
* E_tot: -25.0 eV per formula unit
* ΔE_f (raw): -0.02 eV per atom

---

Record 4
Here is crystalline MgSi2Mo at its relaxed geometry from the Alexandria database. Energies are from PBE.

POSCAR file:
```
MgSi2Mo
1.0
3.405 0.000 0.000
0.000 3.405 0.000
0.000 0.000 5.257
Mg Mo Si
1 1 2
Cartesian
0.000 0.000 2.589 Mg
1.702 1.702 4.089 Mo
0.000 0.000 5.172 Si
1.702 1.702 1.294 Si
```

Properties
* E_tot: -23.5 eV per formula unit
* ΔE_f (raw): -0.05 eV per atom

---

Record 5
Here is crystalline MgSiMo2 at its relaxed geometry from the Alexandria database. Energies are from PBE.

POSCAR file:
```
MgSiMo2
1.0
4.995 0.004 0.000
2.044 4.557 0.000
-3.519 -2.281 2.713
Mg Mo Si
1 2 1
Cartesian
2.497 0.002 1.356 Mg
0.000 0.000 0.000 Mo
3.519 2.281 0.000 Mo
1.022 2.279 1.356 Si
```

Properties
* E_tot: -28.0 eV per formula unit
* ΔE_f (raw): 0.17 eV per atom

---

Record 6
Here is crystalline MgSi2Mo at its relaxed geometry from the Alexandria database. Energies are from PBE.

POSCAR file:
```
MgSi2Mo
1.0
-3.923 3.252 -0.068
-4.732 1.026 1.590
1.848 1.899 3.452
Mg Mo Si
1 1 2
Cartesian
-3.505 3.390 2.843 Mg
-1.667 1.292 0.922 Mo
-8.075 4.227 1.737 Si
-5.617 4.632 3.480 Si
```

Properties
* E_tot: -23.2 eV per formula unit
* ΔE_f (raw): 0.01 eV per atom

---

Record 7
Here is crystalline MgSiMo2 at its relaxed geometry from the Alexandria database. Energies are from PBE.

POSCAR file:
```
MgSiMo2
1.0
4.411 0.000 0.000
0.000 2.811 0.009
0.000 0.933 5.092
Mg Mo Si
1 2 1
Cartesian
2.205 2.743 3.795 Mg
0.000 0.235 0.077 Mo
2.205 0.991 1.272 Mo
0.000 1.648 2.508 Si
```

Properties
* E_tot: -28.3 eV per formula unit
* ΔE_f (raw): 0.10 eV per atom

---

Record 8
Here is crystalline MgSiMo2 at its relaxed geometry from the Alexandria database. Energies are from PBE.

POSCAR file:
```
MgSiMo2
1.0
4.406 0.000 0.000
2.203 3.815 0.000
2.203 1.272 3.597
Mg Mo Si
1 2 1
Cartesian
4.406 2.544 1.799 Mg
0.000 0.000 0.000 Mo
2.203 1.272 0.899 Mo
6.608 3.815 2.698 Si
```

Properties
* E_tot: -28.7 eV per formula unit
* ΔE_f (raw): 0.00 eV per atom